Entry from Alexandria via LeMat-Bulk: a relaxed structure of LiBi2Te2 (GGA-PBE).

Cell: 8.116 8.116 4.704 Å, 90.00 90.00 90.00°
Sites, in units of the cell vectors:
Li (0.000, 0.000, 0.000)
Li (0.500, 0.500, 0.000)
Bi (0.143, 0.357, 0.500)
Bi (0.357, 0.857, 0.500)
Bi (0.643, 0.143, 0.500)
Bi (0.857, 0.643, 0.500)
Te (0.177, 0.677, 0.000)
Te (0.323, 0.177, 0.000)
Te (0.677, 0.823, 0.000)
Te (0.823, 0.323, 0.000)

Computed properties:
**Calculated density**: 7.3 g/cm³
**Crystal system**: tetragonal
**Uncorrected formation energy**: -0.156 eV/atom
**Distance to the lowest polymorph of the same formula**: 0 meV/atom

Entry from Alexandria via LeMat-Bulk: a relaxed structure of TiNiIr2 (GGA-PBE).

Cell: 8.967 8.967 8.967 Å, 155.58 155.58 34.80°
Sites, in units of the cell vectors:
Ti (0.000, 0.000, 0.000)
Ti (0.750, 0.250, 0.500)
Ni (0.250, 0.750, 0.500)
Ni (0.500, 0.500, 0.000)
Ir (0.147, 0.625, 0.022)
Ir (0.375, 0.397, 0.522)
Ir (0.603, 0.125, 0.978)
Ir (0.875, 0.853, 0.478)

Computed properties:
**Calculated density**: 13.2 g/cm³
**Crystal system**: tetragonal
**Formation energy**: -35 meV per atom

Entry from Alexandria via LeMat-Bulk: a relaxed structure of GaAs2OsSe (GGA-PBE).

Cell: 4.692 4.692 4.822 Å, 90.00 90.00 90.00°
Sites, in units of the cell vectors:
Ga (0.000, 0.000, 0.000)
As (0.000, 0.500, 0.000)
As (0.500, 0.000, 0.000)
Os (0.500, 0.500, 0.500)
Se (0.000, 0.000, 0.500)

Computed properties:
**Calculated density**: 7.6 g/cm³
**Crystal system**: tetragonal
**Uncorrected formation energy**: 1.490 eV/atom
**Distance to the lowest polymorph of the same formula**: 976 meV/atom

Entry from Alexandria via LeMat-Bulk: a relaxed structure of MnFeBP (GGA-PBE).

Cell: 4.156 4.156 4.297 Å, 121.11 121.11 39.69°
Sites, in units of the cell vectors:
Mn (0.000, 0.000, 0.000)
Fe (0.597, 0.597, 0.598)
B (0.297, 0.297, 0.044)
P (0.299, 0.299, 0.527)

Computed properties:
**Calculated density**: 6.4 g/cm³
**Crystal system**: monoclinic
**Formation energy**: -308 meV per atom
**Distance to the lowest polymorph of the same formula**: 0 meV/atom

Number 2 is which compound? TiNiIr2

What did the fourth record say?
Entry from Alexandria via LeMat-Bulk: a relaxed structure of MnFeBP (GGA-PBE).

Cell: 4.156 4.156 4.297 Å, 121.11 121.11 39.69°
Sites, in units of the cell vectors:
Mn (0.000, 0.000, 0.000)
Fe (0.597, 0.597, 0.598)
B (0.297, 0.297, 0.044)
P (0.299, 0.299, 0.527)

Computed properties:
**Calculated density**: 6.4 g/cm³
**Crystal system**: monoclinic
**Formation energy**: -308 meV per atom
**Distance to the lowest polymorph of the same formula**: 0 meV/atom

calculated density of number 1 (LiBi2Te2)? 7.3 g/cm³